A geometry-optimized Fe14CoSi structure. Source: the Alexandria database, functional PBE.

The structure in CIF format:
```
data_Fe14CoSi
_space_group_name_H-M_alt 'C m m m'
_space_group_IT_number 65
_space_group_name_Hall '-C 2 2'
_cell_length_a 5.727
_cell_length_b 7.995
_cell_length_c 7.993
_cell_angle_alpha 90.00
_cell_angle_beta 90.00
_cell_angle_gamma 90.00
loop_
_atom_site_label
_atom_site_fract_x
_atom_site_fract_y
_atom_site_fract_z
Fe1 0.000 0.000 0.000
Fe2 0.000 0.248 0.252
Fe3 0.000 0.500 0.000
Fe4 0.249 0.500 0.251
Fe5 0.250 0.250 0.000
Fe6 0.250 0.250 0.500
Co1 0.000 0.500 0.500
Si1 0.000 0.000 0.500
```

Calculated values
E = -264.17 eV/cell
M_tot = 2.10 μB per atom



A geometry-optimized FeCoSi structure. Source: the Alexandria database, functional PBE.

The structure in CIF format:
```
data_FeCoSi
_space_group_name_H-M_alt 'P n m a'
_space_group_IT_number 62
_cell_length_a 5.534
_cell_length_b 2.745
_cell_length_c 8.594
_cell_angle_alpha 90.00
_cell_angle_beta 90.00
_cell_angle_gamma 90.00
loop_
_space_group_symop_operation_xyz
'x,y,z'
'-x,-y,-z'
'-x+1/2,-y,z+1/2'
'x+1/2,y,-z+1/2'
'x+1/2,-y+1/2,-z+1/2'
'-x+1/2,y+1/2,z+1/2'
'-x,y+1/2,-z'
'x,-y+1/2,z'
loop_
_atom_site_label
_atom_site_fract_x
_atom_site_fract_y
_atom_site_fract_z
Fe1 0.130 0.250 0.086
Co1 0.121 0.250 0.402
Si1 0.127 0.250 0.754
```

Calculated values
E = -87.65 eV/cell
M_tot = 0.82 μB per atom



A geometry-optimized FeCoSi structure. Source: the Alexandria database, functional PBE.

The structure in CIF format:
```
data_FeCoSi
_space_group_name_H-M_alt 'P 3 m 1'
_space_group_IT_number 156
_cell_length_a 2.5996
_cell_length_b 2.5996
_cell_length_c 5.7118
_cell_angle_alpha 90.00
_cell_angle_beta 90.00
_cell_angle_gamma 120.00
loop_
_space_group_symop_operation_xyz
'x,y,z'
'-y,x-y,z'
'-x+y,-x,z'
'-y,-x,z'
'-x+y,y,z'
'x,x-y,z'
loop_
_atom_site_label
_atom_site_fract_x
_atom_site_fract_y
_atom_site_fract_z
Fe1 0.0000 0.0000 0.0000
Co1 0.3333 0.6667 0.6547
Si1 0.6667 0.3333 0.3337
```

Calculated values
E = -21.33 eV/cell
M_tot = 0.77 μB per atom



A geometry-optimized Fe2Co3Si structure. Source: the Alexandria database, functional PBE.

The structure in CIF format:
```
data_Fe2Co3Si
_space_group_name_H-M_alt 'C m m m'
_space_group_IT_number 65
_space_group_name_Hall '-C 2 2'
_cell_length_a 3.972
_cell_length_b 11.972
_cell_length_c 2.837
_cell_angle_alpha 90.00
_cell_angle_beta 90.00
_cell_angle_gamma 90.00
loop_
_atom_site_label
_atom_site_fract_x
_atom_site_fract_y
_atom_site_fract_z
Fe1 0.000 0.169 0.000
Co1 0.000 0.000 0.500
Co2 0.000 0.338 0.500
Si1 0.000 0.500 0.000
```

Calculated values
E = -90.02 eV/cell
M_tot = 1.62 μB per atom



A geometry-optimized Fe4CoSi structure. Source: the Alexandria database, functional PBE.

The structure in CIF format:
```
data_Fe4CoSi
_space_group_name_H-M_alt 'F -4 3 m'
_space_group_IT_number 216
_space_group_name_Hall 'F -4 2 3'
_cell_length_a 6.577
_cell_length_b 6.577
_cell_length_c 6.577
_cell_angle_alpha 90.00
_cell_angle_beta 90.00
_cell_angle_gamma 90.00
loop_
_atom_site_label
_atom_site_fract_x
_atom_site_fract_y
_atom_site_fract_z
Fe1 0.125 0.125 0.125
Co1 0.000 0.000 0.500
Si1 0.250 0.250 0.750
```

Calculated values
E above lowest polymorph = 0.335 eV per atom
E = -181.58 eV/cell
M_tot = 1.61 μB per atom



A geometry-optimized FeCoSi structure. Source: the Alexandria database, functional PBE.

The structure in CIF format:
```
data_FeCoSi
_space_group_name_H-M_alt 'I m m 2'
_space_group_IT_number 44
_cell_length_a 2.612
_cell_length_b 3.347
_cell_length_c 7.581
_cell_angle_alpha 90.00
_cell_angle_beta 90.00
_cell_angle_gamma 90.00
loop_
_space_group_symop_operation_xyz
'x,y,z'
'-x,-y,z'
'-x,y,z'
'x,-y,z'
'x+1/2,y+1/2,z+1/2'
'-x+1/2,-y+1/2,z+1/2'
'-x+1/2,y+1/2,z+1/2'
'x+1/2,-y+1/2,z+1/2'
loop_
_atom_site_label
_atom_site_fract_x
_atom_site_fract_y
_atom_site_fract_z
Fe1 0.000 0.000 0.000
Co1 0.000 0.000 0.673
Si1 0.000 0.000 0.333
```

Calculated values
E = -43.59 eV/cell
M_tot = 0.97 μB per atom



A geometry-optimized FeCo3Si structure. Source: the Alexandria database, functional PBE.

The structure in CIF format:
```
data_FeCo3Si
_space_group_name_H-M_alt 'P m -3 m'
_space_group_IT_number 221
_space_group_name_Hall '-P 4 2 3'
_cell_length_a 4.130
_cell_length_b 4.130
_cell_length_c 4.130
_cell_angle_alpha 90.00
_cell_angle_beta 90.00
_cell_angle_gamma 90.00
loop_
_atom_site_label
_atom_site_fract_x
_atom_site_fract_y
_atom_site_fract_z
Fe1 0.000 0.000 0.000
Co1 0.000 0.500 0.500
Si1 0.500 0.500 0.500
```

Calculated values
E above lowest polymorph = 0.000 eV per atom
E = -31.86 eV/cell
M_tot = 1.37 μB per atom



A geometry-optimized FeCoSi structure. Source: the Alexandria database, functional PBE.

The structure in CIF format:
```
data_FeCoSi
_space_group_name_H-M_alt 'P n m a'
_space_group_IT_number 62
_cell_length_a 4.893
_cell_length_b 3.747
_cell_length_c 7.091
_cell_angle_alpha 90.00
_cell_angle_beta 90.00
_cell_angle_gamma 90.00
loop_
_space_group_symop_operation_xyz
'x,y,z'
'-x,-y,-z'
'-x+1/2,-y,z+1/2'
'x+1/2,y,-z+1/2'
'x+1/2,-y+1/2,-z+1/2'
'-x+1/2,y+1/2,z+1/2'
'-x,y+1/2,-z'
'x,-y+1/2,z'
loop_
_atom_site_label
_atom_site_fract_x
_atom_site_fract_y
_atom_site_fract_z
Fe1 0.166 0.250 0.062
Co1 0.038 0.250 0.717
Si1 0.191 0.250 0.394
```

Calculated values
E = -88.21 eV/cell
M_tot = 0.58 μB per atom



A geometry-optimized FeCo4Si2 structure. Source: the Alexandria database, functional PBE.

The structure in CIF format:
```
data_FeCo4Si2
_space_group_name_H-M_alt 'I 4/m m m'
_space_group_IT_number 139
_space_group_name_Hall '-I 4 2'
_cell_length_a 3.343
_cell_length_b 3.343
_cell_length_c 16.389
_cell_angle_alpha 90.00
_cell_angle_beta 90.00
_cell_angle_gamma 90.00
loop_
_atom_site_label
_atom_site_fract_x
_atom_site_fract_y
_atom_site_fract_z
Fe1 0.000 0.000 0.000
Co1 0.000 0.000 0.140
Co2 0.000 0.500 0.250
Si1 0.000 0.000 0.361
```

Calculated values
E = -92.92 eV/cell
M_tot = 0.92 μB per atom



A geometry-optimized Fe4CoSi structure. Source: the Alexandria database, functional PBE.

The structure in CIF format:
```
data_Fe4CoSi
_space_group_name_H-M_alt 'P 4/m m m'
_space_group_IT_number 123
_space_group_name_Hall '-P 4 2'
_cell_length_a 2.836
_cell_length_b 2.836
_cell_length_c 8.349
_cell_angle_alpha 90.00
_cell_angle_beta 90.00
_cell_angle_gamma 90.00
loop_
_atom_site_label
_atom_site_fract_x
_atom_site_fract_y
_atom_site_fract_z
Fe1 0.000 0.000 0.161
Fe2 0.500 0.500 0.330
Co1 0.000 0.000 0.500
Si1 0.500 0.500 0.000
```

Calculated values
E above lowest polymorph = 0.000 eV per atom
E = -47.41 eV/cell
M_tot = 1.60 μB per atom



A geometry-optimized Fe12Co7Si structure. Source: the Alexandria database, functional PBE.

The structure in CIF format:
```
data_Fe12Co7Si
_space_group_name_H-M_alt 'R -3'
_space_group_IT_number 148
_space_group_name_Hall '-R 3'
_cell_length_a 10.4263
_cell_length_b 10.4263
_cell_length_c 7.4337
_cell_angle_alpha 90.00
_cell_angle_beta 90.00
_cell_angle_gamma 120.00
loop_
_atom_site_label
_atom_site_fract_x
_atom_site_fract_y
_atom_site_fract_z
Fe1 0.0264 0.7781 0.0589
Fe2 0.0394 0.8708 0.7466
Co1 0.0000 0.0000 0.0000
Co2 0.0740 0.5902 0.1055
Si1 0.0000 0.0000 0.5000
```

Calculated values
E = -468.10 eV/cell
M_tot = 2.01 μB per atom



A geometry-optimized FeCoSi4 structure. Source: the Alexandria database, functional PBE.

The structure in CIF format:
```
data_FeCoSi4
_space_group_name_H-M_alt 'F -4 3 m'
_space_group_IT_number 216
_space_group_name_Hall 'F -4 2 3'
_cell_length_a 6.757
_cell_length_b 6.757
_cell_length_c 6.757
_cell_angle_alpha 90.00
_cell_angle_beta 90.00
_cell_angle_gamma 90.00
loop_
_atom_site_label
_atom_site_fract_x
_atom_site_fract_y
_atom_site_fract_z
Fe1 0.000 0.000 0.000
Co1 0.250 0.250 0.750
Si1 0.125 0.125 0.375
```

Calculated values
E = -137.12 eV/cell
M_tot = 0.19 μB per atom